The following is a DFT calculation (PBE-GGA) of an optimized crystal structure of EuDyTe2.

The structure belongs to space group R-3m (No. 166, hexagonal axes); the cell edges are 4.4450, 4.4450 and 22.1847 Å and the angles 90.00°, 90.00° and 120.00°. The asymmetric unit holds Eu at (0.0000, 0.0000, 0.0000), Dy at (0.0000, 0.0000, 0.5000) and Te at (0.0000, 0.0000, 0.2455).

The total DFT energy (no corrections) is -6.782 eV/atom. Its magnetization is 21.031 μB/cell. The calculation puts the uncorrected formation energy at -1.4924 eV/atom. As for the energy above the most stable polymorph in this dataset: 0 meV per atom.